1.
First-principles (PBE) data for CaInAg2 after structural relaxation, as listed in Alexandria via LeMat-Bulk.

**ρ**: 6.28 Mg/m³
**Calculated formation energy**: -0.20 eV/atom

Cell: 3.505 4.725 5.917 Å, 90.00 90.00 90.00°
Sites, in units of the cell vectors:
Ca 0.000 0.000 0.000
In 0.500 0.000 0.500
Ag 0.500 0.500 0.240
Ag 0.500 0.500 0.760

---

2.
First-principles (PBE) data for AlGaB2Te after structural relaxation, as listed in Alexandria via LeMat-Bulk.

**ρ**: 3.67 Mg/m³
**E_form (uncorrected)**: 827 kJ/mol of formula units

Cell: 4.422 4.422 5.695 Å, 90.00 90.00 90.00°
Sites, in units of the cell vectors:
Al 0.000 0.000 0.000
Ga 0.500 0.500 0.000
B 0.000 0.500 0.500
B 0.500 0.000 0.500
Te 0.500 0.500 0.500

---

3.
First-principles (PBE) data for Dy3Er4Mg after structural relaxation, as listed in Alexandria via LeMat-Bulk.

**ρ**: 7.94 Mg/m³
**Polymorph energy (0 for the lowest one)**: 225 meV per atom
**Calculated formation energy**: 0.22 eV/atom

Cell: 12.779 12.779 5.819 Å, 95.64 95.64 15.13°
Sites, in units of the cell vectors:
Dy 0.000 0.000 0.000
Dy 0.150 0.150 0.215
Dy 0.850 0.850 0.785
Er 0.102 0.102 0.695
Er 0.282 0.282 0.263
Er 0.718 0.718 0.737
Er 0.898 0.898 0.305
Mg 0.500 0.500 0.500

---

These records have total moment values of 0.00, 0.00, 0.00 Bohr magnetons per cell, in the order they appear.